Record 1
! Pu2Al4Si3Au (GGA-PBE, optimized geometry); values from VASP
&SYSTEM
  ibrav = 0, nat = 10, ntyp = 4
/
ATOMIC_SPECIES
Pu 244.00 Pu.upf
Al 26.98 Al.upf
Si 28.09 Si.upf
Au 196.97 Au.upf
ATOMIC_POSITIONS crystal
Pu 0.000 0.500 0.242
Pu 0.500 0.000 0.758
Al 0.000 0.000 0.000
Al 0.000 0.500 0.637
Al 0.500 0.000 0.363
Al 0.500 0.500 0.000
Si 0.000 0.500 0.861
Si 0.500 0.000 0.139
Si 0.500 0.500 0.500
Au 0.000 0.000 0.500
CELL_PARAMETERS angstrom
4.142 0.000 0.000
0.000 4.142 0.000
0.000 0.000 10.815
! - Electronic total energy: -6.594 eV/atom
! - ΔE_f (raw): -2.760 eV per formula unit
! - ρ: 7.85 g cm⁻³
! - Crystal system: tetragonal
! - N(E_F): 18.720 states/eV per cell

***

Record 2
! Pu2AlSiAu6 (GGA-PBE, optimized geometry); values from VASP
&SYSTEM
  ibrav = 0, nat = 10, ntyp = 4
/
ATOMIC_SPECIES
Pu 244.00 Pu.upf
Al 26.98 Al.upf
Si 28.09 Si.upf
Au 196.97 Au.upf
ATOMIC_POSITIONS crystal
Pu 0.013 0.246 0.230
Pu 0.987 0.754 0.770
Al 0.500 0.000 0.500
Si 0.500 0.500 0.000
Au 0.001 0.213 0.783
Au 0.357 0.398 0.395
Au 0.498 0.790 0.212
Au 0.502 0.210 0.788
Au 0.643 0.602 0.605
Au 0.999 0.787 0.217
CELL_PARAMETERS angstrom
5.548 0.000 0.000
2.748 6.213 0.000
2.735 0.005 6.229
! - Electronic total energy: -6.025 eV/atom
! - ΔE_f (raw): -2.759 eV per formula unit
! - ρ: 13.34 g cm⁻³
! - Crystal system: triclinic
! - N(E_F): 30.623 states/eV per cell

***

Record 3
! Sm2PuAl4Au3 (GGA-PBE, optimized geometry); values from VASP
&SYSTEM
  ibrav = 0, nat = 10, ntyp = 4
/
ATOMIC_SPECIES
Sm 150.36 Sm.upf
Pu 244.00 Pu.upf
Al 26.98 Al.upf
Au 196.97 Au.upf
ATOMIC_POSITIONS crystal
Sm 0.000 0.500 0.227
Sm 0.500 0.000 0.773
Pu 0.000 0.000 0.500
Al 0.000 0.000 0.000
Al 0.000 0.500 0.670
Al 0.500 0.000 0.330
Al 0.500 0.500 0.000
Au 0.000 0.500 0.879
Au 0.500 0.000 0.121
Au 0.500 0.500 0.500
CELL_PARAMETERS angstrom
4.332 0.000 0.000
0.000 4.332 0.000
0.000 0.000 11.858
! - Electronic total energy: -5.333 eV/atom
! - Calculated formation energy: -0.476 eV per atom
! - ρ: 9.28 g cm⁻³
! - Crystal system: tetragonal
! - N(E_F): 14.814 states/eV per cell

***

Record 4
! Pu2Al3SnAu4 (GGA-PBE, optimized geometry); values from VASP
&SYSTEM
  ibrav = 0, nat = 10, ntyp = 4
/
ATOMIC_SPECIES
Pu 244.00 Pu.upf
Al 26.98 Al.upf
Sn 118.71 Sn.upf
Au 196.97 Au.upf
ATOMIC_POSITIONS crystal
Pu 0.000 0.500 0.239
Pu 0.500 0.000 0.761
Al 0.000 0.500 0.875
Al 0.500 0.000 0.125
Al 0.500 0.500 0.500
Sn 0.000 0.000 0.500
Au 0.000 0.000 0.000
Au 0.000 0.500 0.651
Au 0.500 0.000 0.349
Au 0.500 0.500 0.000
CELL_PARAMETERS angstrom
4.373 0.000 0.000
0.000 4.373 0.000
0.000 0.000 11.093
! - Electronic total energy: -6.146 eV/atom
! - Calculated formation energy: -0.446 eV per atom
! - ρ: 11.55 g cm⁻³
! - Crystal system: tetragonal
! - N(E_F): 29.553 states/eV per cell

***

Record 5
! PuAlSnAu (GGA-PBE, optimized geometry); values from VASP
&SYSTEM
  ibrav = 0, nat = 4, ntyp = 4
/
ATOMIC_SPECIES
Pu 244.00 Pu.upf
Al 26.98 Al.upf
Sn 118.71 Sn.upf
Au 196.97 Au.upf
ATOMIC_POSITIONS crystal
Pu 0.000 0.000 0.000
Al 0.500 0.500 0.500
Sn 0.750 0.750 0.750
Au 0.250 0.250 0.250
CELL_PARAMETERS angstrom
0.000 3.542 3.542
3.542 0.000 3.542
3.542 3.542 0.000
! - Electronic total energy: -6.577 eV/atom
! - Calculated formation energy: -0.239 eV per atom
! - ρ: 10.96 g cm⁻³
! - Crystal system: cubic
! - N(E_F): 10.870 states/eV per cell

***

Record 6
! TbPuAlAu (GGA-PBE, optimized geometry); values from VASP
&SYSTEM
  ibrav = 0, nat = 4, ntyp = 4
/
ATOMIC_SPECIES
Tb 158.93 Tb.upf
Pu 244.00 Pu.upf
Al 26.98 Al.upf
Au 196.97 Au.upf
ATOMIC_POSITIONS crystal
Tb 0.000 0.000 0.000
Pu 0.500 0.500 0.500
Al 0.750 0.750 0.750
Au 0.250 0.250 0.250
CELL_PARAMETERS angstrom
0.000 3.642 3.642
3.642 0.000 3.642
3.642 3.642 0.000
! - Electronic total energy: -6.838 eV/atom
! - Calculated formation energy: -0.342 eV per atom
! - ρ: 10.77 g cm⁻³
! - Crystal system: cubic
! - N(E_F): 9.594 states/eV per cell

***

Record 7
! Pu2TiAl4Au3 (GGA-PBE, optimized geometry); values from VASP
&SYSTEM
  ibrav = 0, nat = 10, ntyp = 4
/
ATOMIC_SPECIES
Pu 244.00 Pu.upf
Ti 47.87 Ti.upf
Al 26.98 Al.upf
Au 196.97 Au.upf
ATOMIC_POSITIONS crystal
Pu 0.000 0.500 0.246
Pu 0.500 0.000 0.754
Ti 0.500 0.500 0.000
Al 0.000 0.000 0.500
Al 0.000 0.500 0.857
Al 0.500 0.000 0.143
Al 0.500 0.500 0.500
Au 0.000 0.000 0.000
Au 0.000 0.500 0.632
Au 0.500 0.000 0.368
CELL_PARAMETERS angstrom
4.245 0.000 0.000
0.000 4.245 0.000
0.000 0.000 11.197
! - Electronic total energy: -6.539 eV/atom
! - Calculated formation energy: -0.403 eV per atom
! - ρ: 10.16 g cm⁻³
! - Crystal system: tetragonal
! - N(E_F): 27.118 states/eV per cell

***

Record 8
! PuAlTlAu (GGA-PBE, optimized geometry); values from VASP
&SYSTEM
  ibrav = 0, nat = 4, ntyp = 4
/
ATOMIC_SPECIES
Pu 244.00 Pu.upf
Al 26.98 Al.upf
Tl 204.38 Tl.upf
Au 196.97 Au.upf
ATOMIC_POSITIONS crystal
Pu 0.000 0.000 0.000
Al 0.500 0.500 0.500
Tl 0.750 0.750 0.750
Au 0.250 0.250 0.250
CELL_PARAMETERS angstrom
0.000 3.560 3.560
3.560 0.000 3.560
3.560 3.560 0.000
! - Electronic total energy: -6.073 eV/atom
! - Calculated formation energy: -0.143 eV per atom
! - ρ: 12.38 g cm⁻³
! - Crystal system: cubic
! - N(E_F): 12.712 states/eV per cell